A plane-wave DFT calculation with PBE was carried out for a geometry-optimized Lu5Ge4 structure.

SG: Pnma
total magnetization: 0.000 μB per atom
calculated total energy: -194.2 eV per cell

Cell lengths 7.4673, 14.3628, 7.5493 Å; angles 90.00, 90.00, 90.00 degrees
Closest atoms and distances in Å follow each position.
Fractional coordinates of all 36 atoms:
Ge: 0.4293 0.2500 0.3819  1 Ge 2.76, 6 Lu 2.87-3.05
Ge: 0.9293 0.2500 0.1181  1 Ge 2.76, 6 Lu 2.87-3.05
Ge: 0.2119 0.9574 0.5364  6 Lu 2.80-3.04
Lu: 0.5208 0.9018 0.3218  6 Ge 2.93-3.19
Lu: 0.9792 0.0982 0.8218  6 Ge 2.93-3.19
Ge: 0.1701 0.2500 0.6422  1 Ge 2.76, 6 Lu 2.86-3.01
Ge: 0.8299 0.7500 0.3578  1 Ge 2.76, 6 Lu 2.86-3.01
Ge: 0.6701 0.2500 0.8578  1 Ge 2.76, 6 Lu 2.86-3.01
Lu: 0.1306 0.3802 0.3390  6 Ge 2.80-2.97
Lu: 0.2056 0.7500 0.5008  6 Ge 2.86-3.05
Lu: 0.1306 0.1198 0.3390  6 Ge 2.80-2.97
Lu: 0.8694 0.6198 0.6610  6 Ge 2.80-2.97
Ge: 0.2881 0.0426 0.0364  6 Lu 2.80-3.04
Lu: 0.7944 0.2500 0.4992  6 Ge 2.86-3.05
Ge: 0.7119 0.9574 0.9636  6 Lu 2.80-3.04
Ge: 0.7119 0.5426 0.9636  6 Lu 2.80-3.04
Lu: 0.8694 0.8802 0.6610  6 Ge 2.80-2.97
Lu: 0.7056 0.7500 0.9992  6 Ge 2.86-3.05
Lu: 0.0208 0.5982 0.1782  6 Ge 2.93-3.19
Ge: 0.2119 0.5426 0.5364  6 Lu 2.80-3.04
Lu: 0.2944 0.2500 0.0008  6 Ge 2.86-3.05
Ge: 0.7881 0.4574 0.4636  6 Lu 2.80-3.04
Lu: 0.0208 0.9018 0.1782  6 Ge 2.93-3.19
Lu: 0.9792 0.4018 0.8218  6 Ge 2.93-3.19
Lu: 0.5208 0.5982 0.3218  6 Ge 2.93-3.19
Ge: 0.7881 0.0426 0.4636  6 Lu 2.80-3.04
Lu: 0.4792 0.0982 0.6782  6 Ge 2.93-3.19
Lu: 0.3694 0.8802 0.8390  6 Ge 2.80-2.97
Lu: 0.4792 0.4018 0.6782  6 Ge 2.93-3.19
Lu: 0.6306 0.1198 0.1610  6 Ge 2.80-2.97
Ge: 0.3299 0.7500 0.1422  1 Ge 2.76, 6 Lu 2.86-3.01
Ge: 0.5707 0.7500 0.6181  1 Ge 2.76, 6 Lu 2.87-3.05
Ge: 0.0707 0.7500 0.8819  1 Ge 2.76, 6 Lu 2.87-3.05
Ge: 0.2881 0.4574 0.0364  6 Lu 2.80-3.04
Lu: 0.3694 0.6198 0.8390  6 Ge 2.80-2.97
Lu: 0.6306 0.3802 0.1610  6 Ge 2.80-2.97